Record 1
VASP calculation (PBE) on a geometry-optimized CaSmPu2Se4 structure.

The space group is P2/m (No. 10) and the conventional cell measures 7.229, 4.162 and 7.230 Å, with angles of 90.00, 109.40 and 90.00 degrees. Symmetry generates all atoms from Ca at (0.000, 0.000, 0.000), Sm at (0.500, 0.500, 0.000), Pu at (0.000, 0.500, 0.500), Pu at (0.500, 0.000, 0.500), Se at (0.248, 0.000, 0.748) and Se at (0.249, 0.500, 0.250).

Its total DFT energy (no corrections) is -7.87 eV per atom. Its formation energy (no corrections) is -1709 meV per atom. As for the calculated volume: 25.6 Å³/atom.


Record 2
VASP calculation (PBE) on a geometry-optimized Ca4Sm3PuSe8 structure.

The space group is R-3m (No. 166, hexagonal axes) and the conventional cell measures 8.3297, 8.3297 and 20.7256 Å, with angles of 90.00, 90.00 and 120.00 degrees. Symmetry generates all atoms from Ca at (0.0000, 0.0000, 0.0000), Ca at (0.0000, 0.5000, 0.0000), Sm at (0.0000, 0.5000, 0.5000), Pu at (0.0000, 0.0000, 0.5000), Se at (0.0000, 0.0000, 0.2507) and Se at (0.0000, 0.5000, 0.2506).

Its total DFT energy (no corrections) is -5.88 eV per atom. Its formation energy (no corrections) is -1859 meV per atom. As for the calculated volume: 25.9 Å³/atom.


Record 3
VASP calculation (PBE) on a geometry-optimized CaSm3Pu2Se6 structure.

The space group is C2/m (No. 12) and the conventional cell measures 7.211, 12.493 and 7.241 Å, with angles of 90.00, 109.42 and 90.00 degrees. Symmetry generates all atoms from Ca at (0.000, 0.000, 0.000), Sm at (0.000, 0.166, 0.500), Sm at (0.000, 0.500, 0.500), Pu at (0.000, 0.333, 0.000), Se at (0.249, 0.166, 0.248) and Se at (0.249, 0.500, 0.247).

Its total DFT energy (no corrections) is -7.23 eV per atom. Its formation energy (no corrections) is -1753 meV per atom. As for the calculated volume: 25.6 Å³/atom.


Record 4
VASP calculation (PBE) on a geometry-optimized SrCaPu2Se4 structure.

The space group is P2/m (No. 10) and the conventional cell measures 7.380, 4.230 and 7.404 Å, with angles of 90.00, 109.59 and 90.00 degrees. Symmetry generates all atoms from Sr at (0.000, 0.000, 0.000), Ca at (0.500, 0.500, 0.000), Pu at (0.000, 0.500, 0.500), Pu at (0.500, 0.000, 0.500), Se at (0.253, 0.000, 0.745) and Se at (0.260, 0.500, 0.260).

Its total DFT energy (no corrections) is -7.48 eV per atom. Its formation energy (no corrections) is -1691 meV per atom. As for the calculated volume: 27.2 Å³/atom.


Record 5
VASP calculation (PBE) on a geometry-optimized CaTb2PuSe4 structure.

The space group is I-4m2 (No. 119) and the conventional cell measures 5.832, 5.832 and 11.703 Å, with angles of 90.00, 90.00 and 90.00 degrees. Symmetry generates all atoms from Ca at (0.000, 0.000, 0.000), Tb at (0.000, 0.000, 0.500), Tb at (0.000, 0.500, 0.250), Pu at (0.000, 0.500, 0.750), Se at (0.000, 0.000, 0.250) and Se at (0.000, 0.500, 0.002).

Its total DFT energy (no corrections) is -6.71 eV per atom. Its formation energy (no corrections) is -1773 meV per atom. As for the calculated volume: 24.9 Å³/atom.


Record 6
VASP calculation (PBE) on a geometry-optimized Ca4Tb3PuSe8 structure.

The space group is R-3m (No. 166, hexagonal axes) and the conventional cell measures 8.2642, 8.2642 and 20.5734 Å, with angles of 90.00, 90.00 and 120.00 degrees. Symmetry generates all atoms from Ca at (0.0000, 0.0000, 0.0000), Ca at (0.0000, 0.5000, 0.0000), Tb at (0.0000, 0.5000, 0.5000), Pu at (0.0000, 0.0000, 0.5000), Se at (0.0000, 0.0000, 0.2488) and Se at (0.0027, 0.5014, 0.7508).

Its total DFT energy (no corrections) is -5.86 eV per atom. Its formation energy (no corrections) is -1849 meV per atom. As for the calculated volume: 25.4 Å³/atom.


Record 7
VASP calculation (PBE) on a geometry-optimized Ca2TbPuSe4 structure.

The space group is P2/m (No. 10) and the conventional cell measures 7.188, 4.149 and 7.265 Å, with angles of 90.00, 109.29 and 90.00 degrees. Symmetry generates all atoms from Ca at (0.000, 0.000, 0.000), Ca at (0.500, 0.500, 0.000), Tb at (0.000, 0.500, 0.500), Pu at (0.500, 0.000, 0.500), Se at (0.246, 0.000, 0.748) and Se at (0.248, 0.500, 0.251).

Its total DFT energy (no corrections) is -6.42 eV per atom. Its formation energy (no corrections) is -1808 meV per atom. As for the calculated volume: 25.6 Å³/atom.


Record 8
VASP calculation (PBE) on a geometry-optimized Ca3Tb2PuSe6 structure.

The space group is C2/m (No. 12) and the conventional cell measures 7.174, 12.432 and 7.258 Å, with angles of 90.00, 109.26 and 90.00 degrees. Symmetry generates all atoms from Ca at (0.000, 0.000, 0.000), Ca at (0.000, 0.334, 0.000), Tb at (0.000, 0.167, 0.500), Pu at (0.000, 0.500, 0.500), Se at (0.245, 0.000, 0.747) and Se at (0.249, 0.168, 0.252).

Its total DFT energy (no corrections) is -6.04 eV per atom. Its formation energy (no corrections) is -1833 meV per atom. As for the calculated volume: 25.5 Å³/atom.